Here is an optimized crystal structure of Mg2In from the Alexandria database. Energies are from PBE.

The structure in POSCAR format:
```
Mg2In
1.0
5.704 -1.692 0.000
5.704 1.692 0.000
-2.329 0.000 7.252
Mg In
4 2
direct
0.143 0.143 0.031 Mg
0.182 0.182 0.629 Mg
0.818 0.818 0.371 Mg
0.857 0.857 0.969 Mg
0.468 0.468 0.708 In
0.532 0.532 0.292 In
```

Calculated values
Space group: C2/m (12)
Energy, eV/atom: -2.041
Fermi-level density of states, states/eV/f.u.: 0.8
Crystal system: monoclinic
Calculated volume, Å³ per atom: 23.33

=====

Here is an optimized crystal structure of Sr2Li9Ag3 from the Alexandria database. Energies are from PBE.

The structure in POSCAR format:
```
Sr2Li9Ag3
1.0
7.088 -4.292 0.000
7.088 4.292 0.000
0.000 0.000 10.115
Sr Li Ag
4 18 6
direct
0.011 0.686 0.750 Sr
0.314 0.989 0.750 Sr
0.686 0.011 0.250 Sr
0.989 0.314 0.250 Sr
0.011 0.657 0.077 Li
0.011 0.657 0.423 Li
0.157 0.843 0.250 Li
0.342 0.658 0.509 Li
0.342 0.658 0.991 Li
0.343 0.989 0.077 Li
0.343 0.989 0.423 Li
0.350 0.441 0.250 Li
0.441 0.350 0.750 Li
0.559 0.650 0.250 Li
0.650 0.559 0.750 Li
0.657 0.011 0.577 Li
0.657 0.011 0.923 Li
0.658 0.342 0.009 Li
0.658 0.342 0.491 Li
0.843 0.157 0.750 Li
0.989 0.343 0.577 Li
0.989 0.343 0.923 Li
0.000 0.000 0.000 Ag
0.000 0.000 0.500 Ag
0.321 0.321 0.000 Ag
0.321 0.321 0.500 Ag
0.679 0.679 0.000 Ag
0.679 0.679 0.500 Ag
```

Calculated values
Space group: Cmcm (63)
Energy, eV/atom: -2.206
Fermi-level density of states, states/eV/f.u.: 6.5
Crystal system: orthorhombic
Calculated volume, Å³ per atom: 21.98

=====

Here is an optimized crystal structure of Pr12Dy6Ho from the Alexandria database. Energies are from PBE.

The structure in POSCAR format:
```
Pr12Dy6Ho
1.0
6.122 3.535 5.140
-6.122 3.535 5.140
0.000 -7.069 5.140
Pr Dy Ho
12 6 1
direct
0.018 0.192 0.363 Pr
0.192 0.363 0.018 Pr
0.218 0.464 0.567 Pr
0.363 0.018 0.192 Pr
0.433 0.782 0.536 Pr
0.464 0.567 0.218 Pr
0.536 0.433 0.782 Pr
0.567 0.218 0.464 Pr
0.637 0.982 0.808 Pr
0.782 0.536 0.433 Pr
0.808 0.637 0.982 Pr
0.982 0.808 0.637 Pr
0.099 0.705 0.259 Dy
0.259 0.099 0.705 Dy
0.295 0.741 0.901 Dy
0.705 0.259 0.099 Dy
0.741 0.901 0.295 Dy
0.901 0.295 0.741 Dy
0.000 0.000 0.000 Ho
```

Calculated values
Space group: R-3 (148)
Energy, eV/atom: -4.585
Fermi-level density of states, states/eV/f.u.: 32.0
Crystal system: trigonal
Calculated volume, Å³ per atom: 35.12

=====

Here is an optimized crystal structure of BaAgP2O6 from the Alexandria database. Energies are from PBE.

The structure in POSCAR format:
```
BaAgP2O6
1.0
5.282 -5.194 0.000
5.282 5.194 0.000
-1.273 0.000 5.689
Ba Ag P O
2 2 4 12
direct
0.195 0.805 0.750 Ba
0.805 0.195 0.250 Ba
0.404 0.596 0.250 Ag
0.596 0.404 0.750 Ag
0.135 0.298 0.764 P
0.298 0.135 0.264 P
0.702 0.865 0.736 P
0.865 0.702 0.236 P
0.063 0.641 0.297 O
0.142 0.186 0.058 O
0.186 0.142 0.558 O
0.276 0.454 0.826 O
0.359 0.937 0.203 O
0.454 0.276 0.326 O
0.546 0.724 0.674 O
0.641 0.063 0.797 O
0.724 0.546 0.174 O
0.814 0.858 0.442 O
0.858 0.814 0.942 O
0.937 0.359 0.703 O
```

Calculated values
Space group: C2/c (15)
Fermi-level density of states, states/eV/f.u.: 1.8
Formation energy without anion corrections, meV/atom: -1858.0
Crystal system: monoclinic
Calculated volume, Å³ per atom: 15.61

=====

Here is an optimized crystal structure of Ho2Pa2S7 from the Alexandria database. Energies are from PBE.

The structure in POSCAR format:
```
Ho2Pa2S7
1.0
4.593 0.000 0.000
0.000 4.593 0.000
0.000 0.000 12.944
Ho Pa S
2 2 7
direct
0.000 0.500 0.138 Ho
0.500 0.000 0.862 Ho
0.000 0.500 0.625 Pa
0.500 0.000 0.375 Pa
0.000 0.000 0.236 S
0.000 0.000 0.500 S
0.000 0.000 0.764 S
0.500 0.500 0.000 S
0.500 0.500 0.256 S
0.500 0.500 0.500 S
0.500 0.500 0.744 S
```

Calculated values
Space group: P-4m2 (115)
Fermi-level density of states, states/eV/f.u.: 10.4
Formation energy without anion corrections, meV/atom: -1703.1
Crystal system: tetragonal
Calculated volume, Å³ per atom: 24.82

=====

Here is an optimized crystal structure of RbHf2I8 from the Alexandria database. Energies are from PBE.

The structure in POSCAR format:
```
RbHf2I8
1.0
8.013 -5.483 0.000
8.013 5.483 0.000
-1.730 0.000 7.996
Rb Hf I
1 2 8
direct
0.000 0.000 0.000 Rb
0.201 0.201 0.671 Hf
0.799 0.799 0.329 Hf
0.082 0.682 0.249 I
0.201 0.201 0.338 I
0.318 0.918 0.751 I
0.363 0.363 0.847 I
0.637 0.637 0.153 I
0.682 0.082 0.249 I
0.799 0.799 0.662 I
0.918 0.318 0.751 I
```

Calculated values
Space group: C2/m (12)
Fermi-level density of states, states/eV/f.u.: 7.9
Formation energy without anion corrections, meV/atom: -856.6
Crystal system: monoclinic
Calculated volume, Å³ per atom: 63.87

=====

Here is an optimized crystal structure of Ba2CaTe4 from the Alexandria database. Energies are from PBE.

The structure in POSCAR format:
```
Ba2CaTe4
1.0
-2.953 2.953 8.633
2.953 -2.953 8.633
2.953 2.953 -8.633
Ba Ca Te
2 1 4
direct
0.125 0.125 0.000 Ba
0.875 0.875 0.000 Ba
0.500 0.500 0.000 Ca
0.000 0.500 0.500 Te
0.321 0.321 0.000 Te
0.500 0.000 0.500 Te
0.679 0.679 0.000 Te
```

Calculated values
Space group: I4/mmm (139)
Fermi-level density of states, states/eV/f.u.: 9.5
Formation energy without anion corrections, meV/atom: -1164.3
Crystal system: tetragonal
Calculated volume, Å³ per atom: 43.03

=====

Here is an optimized crystal structure of Tm2SnB2Rh5 from the Alexandria database. Energies are from PBE.

The structure in POSCAR format:
```
Tm2SnB2Rh5
1.0
9.514 0.000 0.000
0.000 9.514 0.000
0.000 0.000 3.270
Tm Sn B Rh
4 2 4 10
direct
0.175 0.325 0.000 Tm
0.325 0.825 0.000 Tm
0.675 0.175 0.000 Tm
0.825 0.675 0.000 Tm
0.000 0.000 0.000 Sn
0.500 0.500 0.000 Sn
0.121 0.621 0.000 B
0.379 0.121 0.000 B
0.621 0.879 0.000 B
0.879 0.379 0.000 B
0.000 0.500 0.500 Rh
0.071 0.776 0.500 Rh
0.224 0.071 0.500 Rh
0.276 0.571 0.500 Rh
0.429 0.276 0.500 Rh
0.500 0.000 0.500 Rh
0.571 0.724 0.500 Rh
0.724 0.429 0.500 Rh
0.776 0.929 0.500 Rh
0.929 0.224 0.500 Rh
```

Calculated values
Space group: P4/mbm (127)
Energy, eV/atom: -7.166
Fermi-level density of states, states/eV/f.u.: 2.7
Crystal system: tetragonal
Calculated volume, Å³ per atom: 14.80

=====

Question: The lowest calculated volume belongs to which entry?
Answer: Tm2SnB2Rh5